# 1
Here is crystalline CaNbTe at its relaxed geometry from Alexandria via LeMat-Bulk. Energies are from PBE.

Cell: 4.1907 4.1907 8.3448 Å, 90.00 90.00 90.00°
Last column: magnetic moment on the atom in μB.
Fractional positions:
1 Ca 0.5000 0.0000 0.1447  0.07
2 Ca 0.0000 0.5000 0.8553  0.07
3 Te 0.0000 0.5000 0.2563  0.00
4 Te 0.5000 0.0000 0.7437  0.00
5 Nb 0.0000 0.0000 0.5000  0.13
6 Nb 0.5000 0.5000 0.5000  0.13

Results
offset from the most stable computed form	0.0000	eV/atom
M_tot	0.5	μB per formula unit
space group	P4/nmm, No. 129
raw formation energy	-1.46	eV/f.u.

# 2
Here is crystalline Tm3Cu2Ni at its relaxed geometry from Alexandria via LeMat-Bulk. Energies are from PBE.

Cell: 4.2600 10.4519 11.0954 Å, 90.00 90.00 90.00°
Fractional positions:
1 Ni 0.2500 0.3737 0.6268
2 Ni 0.7500 0.8737 0.8732
3 Ni 0.2500 0.1263 0.1268
4 Ni 0.7500 0.6263 0.3732
5 Tm 0.7500 0.9381 0.1122
6 Tm 0.2500 0.4381 0.3878
7 Tm 0.7500 0.6253 0.9491
8 Tm 0.7500 0.8747 0.4491
9 Tm 0.2500 0.0619 0.8878
10 Tm 0.2500 0.7020 0.2257
11 Tm 0.7500 0.5619 0.6122
12 Tm 0.2500 0.7980 0.7257
13 Tm 0.7500 0.2020 0.2743
14 Tm 0.7500 0.2980 0.7743
15 Tm 0.2500 0.1253 0.5509
16 Tm 0.2500 0.3747 0.0509
17 Cu 0.2500 0.9908 0.3041
18 Cu 0.2500 0.8066 0.9840
19 Cu 0.7500 0.1934 0.0160
20 Cu 0.7500 0.0092 0.6959
21 Cu 0.7500 0.3066 0.5160
22 Cu 0.2500 0.6934 0.4840
23 Cu 0.7500 0.4908 0.1959
24 Cu 0.2500 0.5092 0.8041

Results
offset from the most stable computed form	0.0375	eV/atom
M_tot	0.0	μB per formula unit
formation enthalpy at 0 K	-0.312	eV per atom
space group	Pnma, No. 62

# 3
Here is crystalline KCd2Ge at its relaxed geometry from Alexandria via LeMat-Bulk. Energies are from PBE.

Cell: 4.8322 4.8322 6.7799 Å, 69.12 69.12 60.00°
Fractional positions:
1 K 0.5000 0.5000 0.5000
2 Cd 0.2938 0.2938 0.1186
3 Cd 0.7062 0.7062 0.8814
4 Ge 0.0000 0.0000 0.0000

Results
M_tot	0.0	μB per formula unit
formation enthalpy at 0 K	0.010	eV per atom
space group	R-3m, No. 166

# 4
Here is crystalline LaZrZn at its relaxed geometry from Alexandria via LeMat-Bulk. Energies are from PBE.

Cell: 6.7068 6.7068 3.4516 Å, 75.09 75.09 29.82°
Fractional positions:
1 Zn 0.3139 0.3139 0.6861
2 Zr 0.6910 0.6910 0.3090
3 La 0.9951 0.9951 0.0049

Results
offset from the most stable computed form	0.0000	eV/atom
M_tot	0.0	μB per formula unit
formation enthalpy at 0 K	-0.078	eV per atom
space group	I4mm, No. 107

# 5
Here is crystalline BeP2HSe at its relaxed geometry from Alexandria via LeMat-Bulk. Energies are from PBE.

Cell: 3.4069 8.3001 3.4069 Å, 90.00 90.00 90.00°
Fractional positions:
1 Se 0.0000 0.5000 0.0000
2 P 0.0000 0.0000 0.5000
3 P 0.5000 0.0000 0.0000
4 H 0.0000 0.0000 0.0000
5 Be 0.5000 0.5000 0.5000

Results
M_tot	0.0	μB per formula unit
electronic total energy	-3.658	eV/atom
space group	P4/mmm, No. 123

# 6
Here is crystalline CaHoGePd at its relaxed geometry from Alexandria via LeMat-Bulk. Energies are from PBE.

Cell: 5.0038 5.0038 5.0038 Å, 60.00 60.00 60.00°
Fractional positions:
1 Ca 0.5000 0.5000 0.5000
2 Ge 0.2500 0.2500 0.2500
3 Ho 0.0000 0.0000 0.0000
4 Pd 0.7500 0.7500 0.7500

Results
M_tot	0.0	μB per formula unit
formation enthalpy at 0 K	-0.722	eV per atom
space group	F-43m, No. 216

# 7
Here is crystalline V3Cd at its relaxed geometry from Alexandria via LeMat-Bulk. Energies are from PBE.

Cell: 2.5992 4.5931 5.1655 Å, 90.00 90.00 90.00°
Fractional positions:
1 V 0.0000 0.0000 0.9930
2 V 0.5000 0.5000 0.8099
3 V 0.5000 0.0000 0.5538
4 Cd 0.0000 0.5000 0.3100

Results
offset from the most stable computed form	0.0276	eV/atom
M_tot	0.0	μB per formula unit
formation enthalpy at 0 K	0.356	eV per atom
space group	Pmm2, No. 25

# 8
Here is crystalline Li5ThHg4 at its relaxed geometry from Alexandria via LeMat-Bulk. Energies are from PBE.

Cell: 3.3980 3.3980 17.1625 Å, 90.00 90.00 90.00°
Fractional positions:
1 Li 0.5000 0.5000 0.6860
2 Li 0.5000 0.5000 0.8626
3 Li 0.5000 0.5000 0.3140
4 Li 0.5000 0.5000 0.5000
5 Li 0.5000 0.5000 0.1374
6 Hg 0.0000 0.0000 0.7841
7 Hg 0.0000 0.0000 0.4048
8 Hg 0.0000 0.0000 0.5952
9 Hg 0.0000 0.0000 0.2159
10 Th 0.0000 0.0000 0.0000

Results
M_tot	0.0	μB per formula unit
formation enthalpy at 0 K	-0.243	eV per atom
space group	P4/mmm, No. 123

# 9
Here is crystalline Tb9Sm2Mg at its relaxed geometry from Alexandria via LeMat-Bulk. Energies are from PBE.

Cell: 5.0102 5.0102 15.1037 Å, 90.00 90.00 90.00°
Fractional positions:
1 Tb 0.5000 0.5000 0.3288
2 Tb 0.0000 0.5000 0.8367
3 Tb 0.5000 0.5000 0.6712
4 Tb 0.5000 0.5000 0.0000
5 Tb 0.5000 0.0000 0.8367
6 Tb 0.5000 0.0000 0.1633
7 Tb 0.0000 0.5000 0.1633
8 Tb 0.0000 0.5000 0.5000
9 Tb 0.5000 0.0000 0.5000
10 Mg 0.0000 0.0000 0.0000
11 Sm 0.0000 0.0000 0.6692
12 Sm 0.0000 0.0000 0.3308

Results
M_tot	0.0	μB per formula unit
formation enthalpy at 0 K	0.021	eV per atom
space group	P4/mmm, No. 123

# 10
Here is crystalline La7Cd2Ru2 at its relaxed geometry from Alexandria via LeMat-Bulk. Energies are from PBE.

Cell: 7.1459 7.3510 7.1459 Å, 90.00 109.28 90.00°
Fractional positions:
1 La 0.5000 0.7586 0.5000
2 La 0.0000 0.7480 0.5000
3 La 0.5000 0.7480 0.0000
4 La 0.5000 0.2414 0.5000
5 La 0.5000 0.2520 0.0000
6 La 0.0000 0.2520 0.5000
7 La 0.0000 0.0000 0.0000
8 Cd 0.1684 0.5000 0.1684
9 Cd 0.8316 0.5000 0.8316
10 Ru 0.7032 0.0000 0.2968
11 Ru 0.2968 0.0000 0.7032

Results
offset from the most stable computed form	0.0216	eV/atom
M_tot	0.0	μB per formula unit
formation enthalpy at 0 K	-0.211	eV per atom
space group	Cmmm, No. 65

# 11
Here is crystalline ZrTaCd2Se at its relaxed geometry from Alexandria via LeMat-Bulk. Energies are from PBE.

Cell: 5.0042 5.0233 5.0042 Å, 90.00 90.00 90.00°
Last column: magnetic moment on the atom in μB.
Fractional positions:
1 Zr 0.0000 0.5000 0.0000  -0.09
2 Cd 0.0000 0.0000 0.5000  -0.01
3 Cd 0.5000 0.0000 0.0000  0.00
4 Ta 0.5000 0.5000 0.5000  0.57
5 Se 0.0000 0.0000 0.0000  0.04

Results
M_tot	0.8	μB per formula unit
space group	P4/mmm, No. 123
raw formation energy	4.99	eV/f.u.

# 12
Here is crystalline Rb4Ca3TlF12 at its relaxed geometry from Alexandria via LeMat-Bulk. Energies are from PBE.

Cell: 7.9310 7.9310 7.9310 Å, 109.47 109.47 109.47°
Last column: magnetic moment on the atom in μB.
Fractional positions:
1 F 0.0000 0.7418 0.7418  0.07
2 F 0.2582 0.2582 0.0000  0.07
3 F 0.5000 0.7500 0.2500  0.00
4 F 0.7500 0.2500 0.5000  0.00
5 F 0.2500 0.7500 0.5000  0.00
6 F 0.5000 0.2500 0.7500  0.00
7 F 0.7418 0.0000 0.7418  0.07
8 F 0.7500 0.5000 0.2500  0.00
9 F 0.0000 0.2582 0.2582  0.07
10 F 0.2500 0.5000 0.7500  0.00
11 F 0.2582 0.0000 0.2582  0.07
12 F 0.7418 0.7418 0.0000  0.07
13 Rb 0.5000 0.5000 0.5000  0.00
14 Rb 0.5000 0.0000 0.0000  0.00
15 Rb 0.0000 0.0000 0.5000  0.00
16 Rb 0.0000 0.5000 0.0000  0.00
17 Ca 0.5000 0.0000 0.5000  0.01
18 Ca 0.5000 0.5000 0.0000  0.01
19 Ca 0.0000 0.5000 0.5000  0.01
20 Tl 0.0000 0.0000 0.0000  0.37

Results
M_tot	0.9	μB per formula unit
space group	Im-3m, No. 229
raw formation energy	-62.32	eV/f.u.

# 13
Here is crystalline Rb2BaCdBr6 at its relaxed geometry from Alexandria via LeMat-Bulk. Energies are from PBE.

Cell: 8.0409 8.4072 11.5371 Å, 90.00 90.90 90.00°
Fractional positions:
1 Br 0.3187 0.7181 0.4430
2 Br 0.7170 0.3135 0.9483
3 Br 0.2830 0.6865 0.0517
4 Br 0.7830 0.8135 0.5517
5 Br 0.2170 0.1865 0.4483
6 Br 0.8947 0.5315 0.2311
7 Br 0.3947 0.9685 0.7311
8 Br 0.6053 0.0315 0.2689
9 Br 0.1813 0.2181 0.0570
10 Br 0.1053 0.4685 0.7689
11 Br 0.6813 0.2819 0.5570
12 Br 0.8187 0.7819 0.9430
13 Rb 0.0250 0.9296 0.2474
14 Rb 0.4750 0.4296 0.2526
15 Rb 0.5250 0.5704 0.7474
16 Rb 0.9750 0.0704 0.7526
17 Ba 0.5000 0.0000 0.0000
18 Ba 0.0000 0.5000 0.5000
19 Cd 0.0000 0.5000 0.0000
20 Cd 0.5000 0.0000 0.5000

Results
offset from the most stable computed form	0.0000	eV/atom
M_tot	0.0	μB per formula unit
space group	P2_1/c, No. 14
raw formation energy	-15.98	eV/f.u.

# 14
Here is crystalline LiCrRu2 at its relaxed geometry from Alexandria via LeMat-Bulk. Energies are from PBE.

Cell: 2.6557 3.9347 4.8889 Å, 90.00 90.00 90.00°
Fractional positions:
1 Cr 0.0000 0.0000 0.5131
2 Li 0.5000 0.5000 0.7548
3 Ru 0.0000 0.0000 0.9732
4 Ru 0.5000 0.5000 0.2589

Results
offset from the most stable computed form	0.1570	eV/atom
M_tot	0.0	μB per formula unit
formation enthalpy at 0 K	0.234	eV per atom
space group	Pmm2, No. 25

# 15
Here is crystalline Pr3DyAg2 at its relaxed geometry from Alexandria via LeMat-Bulk. Energies are from PBE.

Cell: 5.5622 7.4672 9.6045 Å, 112.88 106.83 90.00°
Fractional positions:
1 Ag 0.3454 0.8454 0.6908
2 Ag 0.6546 0.6546 0.3092
3 Ag 0.3454 0.3454 0.6908
4 Ag 0.6546 0.1546 0.3092
5 Pr 0.5000 0.7500 0.0000
6 Pr 0.8224 0.0724 0.6448
7 Pr 0.8224 0.5724 0.6448
8 Pr 0.5000 0.2500 0.0000
9 Pr 0.1776 0.9276 0.3552
10 Pr 0.1776 0.4276 0.3552
11 Dy 0.0000 0.0000 0.0000
12 Dy 0.0000 0.5000 0.0000

Results
offset from the most stable computed form	0.0510	eV/atom
M_tot	0.0	μB per formula unit
formation enthalpy at 0 K	-0.097	eV per atom
space group	Cmmm, No. 65

# 16
Here is crystalline LuThCoTc at its relaxed geometry from Alexandria via LeMat-Bulk. Energies are from PBE.

Cell: 4.8300 4.8300 4.8300 Å, 60.00 60.00 60.00°
Last column: magnetic moment on the atom in μB.
Fractional positions:
1 Co 0.2500 0.2500 0.2500  -0.13
2 Lu 0.5000 0.5000 0.5000  0.01
3 Th 0.0000 0.0000 0.0000  0.01
4 Tc 0.7500 0.7500 0.7500  -0.02

Results
M_tot	0.1	μB per formula unit
formation enthalpy at 0 K	-0.157	eV per atom
space group	F-43m, No. 216

# 17
Here is crystalline CaPmMg at its relaxed geometry from Alexandria via LeMat-Bulk. Energies are from PBE.

Cell: 5.3916 5.3916 7.8491 Å, 90.00 90.00 90.00°
Last column: magnetic moment on the atom in μB.
Fractional positions:
1 Ca 0.5000 0.5000 0.5000  0.00
2 Ca 0.0000 0.0000 0.5000  0.00
3 Mg 0.0000 0.5000 0.2413  0.00
4 Mg 0.5000 0.0000 0.7587  0.00
5 Pm 0.5000 0.5000 0.0000  0.07
6 Pm 0.0000 0.0000 0.0000  0.07

Results
offset from the most stable computed form	0.3396	eV/atom
M_tot	0.2	μB per formula unit
formation enthalpy at 0 K	0.291	eV per atom
space group	P4/nmm, No. 129

# 18
Here is crystalline TbGa2Ni9 at its relaxed geometry from Alexandria via LeMat-Bulk. Energies are from PBE.

Cell: 4.7709 8.0336 8.0336 Å, 90.00 90.00 90.00°
Last column: magnetic moment on the atom in μB.
Fractional positions:
1 Ni 0.5000 0.9351 0.7917  0.20
2 Ni 0.7593 0.3230 0.1770  0.14
3 Ni 0.7593 0.8230 0.3230  0.14
4 Ni 0.5000 0.5000 0.0000  0.14
5 Ni 0.5000 0.2917 0.4351  0.20
6 Ni 0.5000 0.0000 0.5000  0.14
7 Ni 0.5000 0.5649 0.2917  0.20
8 Ni 0.2407 0.8230 0.3230  0.14
9 Ni 0.5000 0.2083 0.9351  0.20
10 Ni 0.2407 0.1770 0.6770  0.14
11 Ni 0.7593 0.1770 0.6770  0.14
12 Ni 0.2407 0.3230 0.1770  0.14
13 Ni 0.5000 0.4351 0.7083  0.20
14 Ni 0.5000 0.7917 0.0649  0.20
15 Ni 0.2407 0.6770 0.8230  0.14
16 Ni 0.5000 0.7083 0.5649  0.20
17 Ni 0.5000 0.0649 0.2083  0.20
18 Ni 0.7593 0.6770 0.8230  0.14
19 Ga 0.0000 0.3778 0.8778  -0.01
20 Ga 0.0000 0.6222 0.1222  -0.01
21 Ga 0.0000 0.1222 0.3778  -0.01
22 Ga 0.0000 0.8778 0.6222  -0.01
23 Tb 0.0000 0.0000 0.0000  -0.04
24 Tb 0.0000 0.5000 0.5000  -0.04

Results
offset from the most stable computed form	0.0000	eV/atom
M_tot	1.4	μB per formula unit
formation enthalpy at 0 K	-0.287	eV per atom
space group	P4/mbm, No. 127

# 19
Here is crystalline TlGaF6 at its relaxed geometry from Alexandria via LeMat-Bulk. Energies are from PBE.

Cell: 5.2582 5.2580 5.6446 Å, 62.23 62.22 59.99°
Fractional positions:
1 F 0.0922 0.3687 0.7668
2 F 0.6313 0.2278 0.2333
3 F 0.7722 0.0923 0.7669
4 F 0.2278 0.9077 0.2331
5 F 0.9078 0.6313 0.2332
6 F 0.3687 0.7722 0.7667
7 Ga 0.0000 0.0000 0.0000
8 Tl 0.5000 0.5000 0.5000

Results
offset from the most stable computed form	0.0000	eV/atom
M_tot	0.0	μB per formula unit
space group	R-3, No. 148
raw formation energy	-17.67	eV/f.u.

# 20
Here is crystalline Cd5Ag3 at its relaxed geometry from Alexandria via LeMat-Bulk. Energies are from PBE.

Cell: 8.2219 8.2219 5.6791 Å, 90.00 90.00 120.00°
Fractional positions:
1 Cd 0.0000 0.2279 0.2500
2 Cd 0.2279 0.0000 0.2500
3 Cd 0.0000 0.7721 0.7500
4 Cd 0.2279 0.2279 0.7500
5 Cd 0.6667 0.3333 0.0000
6 Cd 0.7722 0.0000 0.7500
7 Cd 0.3333 0.6667 0.0000
8 Cd 0.6667 0.3333 0.5000
9 Cd 0.3333 0.6667 0.5000
10 Cd 0.7721 0.7722 0.2500
11 Ag 0.0000 0.5986 0.2500
12 Ag 0.4015 0.0000 0.7500
13 Ag 0.5985 0.0000 0.2500
14 Ag 0.5985 0.5985 0.7500
15 Ag 0.0000 0.4014 0.7500
16 Ag 0.4015 0.4015 0.2500

Results
offset from the most stable computed form	0.0285	eV/atom
M_tot	0.0	μB per formula unit
formation enthalpy at 0 K	-0.002	eV per atom
space group	P6_3/mcm, No. 193